No. 1
DFT (meta-GGA SCAN) results for a crystal of Y3CdC relaxed with PBEsol.

a = 4.871 Å, b = 4.871 Å, c = 4.871 Å
α = 90.00°, β = 90.00°, γ = 90.00°
Fractional coordinates of all 5 atoms:
Y 0.000 0.500 0.000
Y 0.000 0.000 0.500
Y 0.500 0.000 0.000
C 0.000 0.000 0.000
Cd 0.500 0.500 0.500

Properties
Magnetization = 0.7 μB per cell
Distance to the lowest polymorph of the same formula = 0.0152 eV/atom
ΔH_f (0 K) = -0.479 eV/atom
Volume = 115.6 Å³ per cell
DFT total energy = -25.288 eV/atom

=====

No. 2
DFT (meta-GGA SCAN) results for a crystal of Y3CdC relaxed with PBEsol.

a = 6.855 Å, b = 6.855 Å, c = 6.855 Å
α = 90.74°, β = 119.45°, γ = 119.70°
Fractional coordinates of all 10 atoms:
Y 0.000 0.780 0.280
Y 0.500 0.780 0.780
Y 0.500 0.220 0.220
Y 0.000 0.220 0.720
Y 0.439 0.689 0.250
Y 0.561 0.311 0.750
C 0.500 0.500 0.000
C 0.500 0.000 0.500
Cd 0.996 0.246 0.250
Cd 0.004 0.754 0.750

Properties
Magnetization = 0.0 μB per cell
Distance to the lowest polymorph of the same formula = 0.0000 eV/atom
ΔH_f (0 K) = -0.494 eV/atom
Volume = 229.3 Å³ per cell
DFT total energy = -25.303 eV/atom